# 1
Entry from Alexandria via LeMat-Bulk: a relaxed structure of LaPr2HgC (GGA-PBE).

```
data_LaPr2HgC
_symmetry_space_group_name_H-M 'P 1'
_symmetry_Int_Tables_number 1
_cell_length_a 7.281
_cell_length_b 7.281
_cell_length_c 7.308
_cell_angle_alpha 119.88
_cell_angle_beta 119.88
_cell_angle_gamma 90.00
loop_
_symmetry_equiv_pos_as_xyz
'x,y,z'
loop_
_atom_site_label
_atom_site_type_symbol
_atom_site_fract_x
_atom_site_fract_y
_atom_site_fract_z
_atom_site_occupancy
La1 La 0.250 0.250 0.500 1
Pr1 Pr 0.692 0.192 0.000 1
Pr2 Pr 0.192 0.308 0.000 1
Pr3 Pr 0.808 0.692 0.000 1
La2 La 0.750 0.750 0.500 1
C1 C 0.500 0.500 0.000 1
Pr4 Pr 0.308 0.808 0.000 1
Hg1 Hg 0.250 0.750 0.500 1
Hg2 Hg 0.750 0.250 0.500 1
C2 C 0.000 0.000 0.000 1
```

Output
SG = No. 140
ΔH_f (0 K) = -0.23 eV per atom


# 2
Entry from Alexandria via LeMat-Bulk: a relaxed structure of La2HgPtC (GGA-PBE).

```
data_La2HgPtC
_symmetry_space_group_name_H-M 'P 1'
_symmetry_Int_Tables_number 1
_cell_length_a 5.476
_cell_length_b 5.476
_cell_length_c 3.936
_cell_angle_alpha 90.00
_cell_angle_beta 90.00
_cell_angle_gamma 90.00
loop_
_symmetry_equiv_pos_as_xyz
'x,y,z'
loop_
_atom_site_label
_atom_site_type_symbol
_atom_site_fract_x
_atom_site_fract_y
_atom_site_fract_z
_atom_site_occupancy
C1 C 0.000 0.000 0.000 1
La1 La 0.000 0.500 0.000 1
La2 La 0.500 0.000 0.000 1
Hg1 Hg 0.500 0.500 0.500 1
Pt1 Pt 0.000 0.000 0.500 1
```

Output
SG = No. 123
ΔH_f (0 K) = -0.51 eV per atom


# 3
Entry from Alexandria via LeMat-Bulk: a relaxed structure of La2ReHgC (GGA-PBE).

```
data_La2ReHgC
_symmetry_space_group_name_H-M 'P 1'
_symmetry_Int_Tables_number 1
_cell_length_a 5.392
_cell_length_b 5.392
_cell_length_c 4.011
_cell_angle_alpha 90.00
_cell_angle_beta 90.00
_cell_angle_gamma 90.00
loop_
_symmetry_equiv_pos_as_xyz
'x,y,z'
loop_
_atom_site_label
_atom_site_type_symbol
_atom_site_fract_x
_atom_site_fract_y
_atom_site_fract_z
_atom_site_occupancy
La1 La 0.000 0.500 0.000 1
La2 La 0.500 0.000 0.000 1
Hg1 Hg 0.500 0.500 0.500 1
C1 C 0.000 0.000 0.000 1
Re1 Re 0.000 0.000 0.500 1
```

Output
SG = No. 123
ΔH_f (0 K) = -0.21 eV per atom


# 4
Entry from Alexandria via LeMat-Bulk: a relaxed structure of La2ScHgC (GGA-PBE).

```
data_La2ScHgC
_symmetry_space_group_name_H-M 'P 1'
_symmetry_Int_Tables_number 1
_cell_length_a 5.336
_cell_length_b 5.336
_cell_length_c 4.474
_cell_angle_alpha 90.00
_cell_angle_beta 90.00
_cell_angle_gamma 90.00
loop_
_symmetry_equiv_pos_as_xyz
'x,y,z'
loop_
_atom_site_label
_atom_site_type_symbol
_atom_site_fract_x
_atom_site_fract_y
_atom_site_fract_z
_atom_site_occupancy
La1 La 0.500 0.000 0.000 1
Sc1 Sc 0.000 0.000 0.500 1
Hg1 Hg 0.500 0.500 0.500 1
La2 La 0.000 0.500 0.000 1
C1 C 0.000 0.000 0.000 1
```

Output
SG = No. 123
ΔH_f (0 K) = -0.32 eV per atom


# 5
Entry from Alexandria via LeMat-Bulk: a relaxed structure of LaSm2HgC (GGA-PBE).

```
data_LaSm2HgC
_symmetry_space_group_name_H-M 'P 1'
_symmetry_Int_Tables_number 1
_cell_length_a 7.099
_cell_length_b 7.099
_cell_length_c 7.226
_cell_angle_alpha 119.42
_cell_angle_beta 119.42
_cell_angle_gamma 90.00
loop_
_symmetry_equiv_pos_as_xyz
'x,y,z'
loop_
_atom_site_label
_atom_site_type_symbol
_atom_site_fract_x
_atom_site_fract_y
_atom_site_fract_z
_atom_site_occupancy
Sm1 Sm 0.192 0.308 0.000 1
Sm2 Sm 0.692 0.192 0.000 1
C1 C 0.500 0.500 0.001 1
C2 C 0.000 0.000 0.001 1
La1 La 0.750 0.750 0.500 1
Sm3 Sm 0.308 0.808 0.000 1
Sm4 Sm 0.808 0.692 0.000 1
La2 La 0.250 0.250 0.500 1
Hg1 Hg 0.250 0.750 0.500 1
Hg2 Hg 0.750 0.250 0.500 1
```

Output
SG = No. 140
ΔH_f (0 K) = -0.29 eV per atom


# 6
Entry from Alexandria via LeMat-Bulk: a relaxed structure of La2SmHgC (GGA-PBE).

```
data_La2SmHgC
_symmetry_space_group_name_H-M 'P 1'
_symmetry_Int_Tables_number 1
_cell_length_a 7.284
_cell_length_b 7.284
_cell_length_c 7.276
_cell_angle_alpha 120.04
_cell_angle_beta 120.04
_cell_angle_gamma 90.00
loop_
_symmetry_equiv_pos_as_xyz
'x,y,z'
loop_
_atom_site_label
_atom_site_type_symbol
_atom_site_fract_x
_atom_site_fract_y
_atom_site_fract_z
_atom_site_occupancy
C1 C 0.508 0.508 0.016 1
La1 La 0.701 0.201 0.997 1
Sm1 Sm 0.247 0.247 0.493 1
C2 C 0.008 0.008 0.016 1
Sm2 Sm 0.747 0.747 0.493 1
Hg1 Hg 0.249 0.749 0.497 1
La2 La 0.796 0.701 0.997 1
La3 La 0.296 0.796 0.997 1
La4 La 0.201 0.296 0.997 1
Hg2 Hg 0.749 0.249 0.497 1
```

Output
SG = No. 108
ΔH_f (0 K) = -0.26 eV per atom


# 7
Entry from Alexandria via LeMat-Bulk: a relaxed structure of La4SnHgC (GGA-PBE).

```
data_La4SnHgC
_symmetry_space_group_name_H-M 'P 1'
_symmetry_Int_Tables_number 1
_cell_length_a 7.454
_cell_length_b 7.444
_cell_length_c 8.706
_cell_angle_alpha 90.00
_cell_angle_beta 115.35
_cell_angle_gamma 90.00
loop_
_symmetry_equiv_pos_as_xyz
'x,y,z'
loop_
_atom_site_label
_atom_site_type_symbol
_atom_site_fract_x
_atom_site_fract_y
_atom_site_fract_z
_atom_site_occupancy
La1 La 0.917 0.250 0.834 1
Sn1 Sn 0.620 0.750 0.240 1
La2 La 0.587 0.250 0.173 1
La3 La 0.000 0.500 0.500 1
C1 C 0.751 0.250 0.503 1
Hg1 Hg 0.882 0.750 0.764 1
La4 La 0.500 0.000 0.500 1
Sn2 Sn 0.380 0.250 0.760 1
C2 C 0.249 0.750 0.497 1
La5 La 0.413 0.750 0.827 1
La6 La 0.500 0.500 0.500 1
La7 La 0.083 0.750 0.166 1
Hg2 Hg 0.118 0.250 0.236 1
La8 La 0.000 0.000 0.500 1
```

Output
SG = No. 63
ΔH_f (0 K) = -0.41 eV per atom


# 8
Entry from Alexandria via LeMat-Bulk: a relaxed structure of La2TbHgC (GGA-PBE).

```
data_La2TbHgC
_symmetry_space_group_name_H-M 'P 1'
_symmetry_Int_Tables_number 1
_cell_length_a 4.905
_cell_length_b 5.241
_cell_length_c 5.241
_cell_angle_alpha 90.00
_cell_angle_beta 90.00
_cell_angle_gamma 90.00
loop_
_symmetry_equiv_pos_as_xyz
'x,y,z'
loop_
_atom_site_label
_atom_site_type_symbol
_atom_site_fract_x
_atom_site_fract_y
_atom_site_fract_z
_atom_site_occupancy
Hg1 Hg 0.500 0.500 0.500 1
La1 La 0.000 0.500 0.000 1
C1 C 0.000 0.000 0.000 1
Tb1 Tb 0.500 0.000 0.000 1
La2 La 0.000 0.000 0.500 1
```

Output
SG = No. 123
ΔH_f (0 K) = -0.26 eV per atom


# 9
Entry from Alexandria via LeMat-Bulk: a relaxed structure of La2TcHgC (GGA-PBE).

```
data_La2TcHgC
_symmetry_space_group_name_H-M 'P 1'
_symmetry_Int_Tables_number 1
_cell_length_a 5.374
_cell_length_b 5.374
_cell_length_c 4.020
_cell_angle_alpha 90.00
_cell_angle_beta 90.00
_cell_angle_gamma 90.00
loop_
_symmetry_equiv_pos_as_xyz
'x,y,z'
loop_
_atom_site_label
_atom_site_type_symbol
_atom_site_fract_x
_atom_site_fract_y
_atom_site_fract_z
_atom_site_occupancy
La1 La 0.000 0.500 0.000 1
La2 La 0.500 0.000 0.000 1
Tc1 Tc 0.000 0.000 0.500 1
C1 C 0.000 0.000 0.000 1
Hg1 Hg 0.500 0.500 0.500 1
```

Output
SG = No. 123
ΔH_f (0 K) = -0.25 eV per atom


# 10
Entry from Alexandria via LeMat-Bulk: a relaxed structure of La2TiHgC (GGA-PBE).

```
data_La2TiHgC
_symmetry_space_group_name_H-M 'P 1'
_symmetry_Int_Tables_number 1
_cell_length_a 5.392
_cell_length_b 5.392
_cell_length_c 4.177
_cell_angle_alpha 90.00
_cell_angle_beta 90.00
_cell_angle_gamma 90.00
loop_
_symmetry_equiv_pos_as_xyz
'x,y,z'
loop_
_atom_site_label
_atom_site_type_symbol
_atom_site_fract_x
_atom_site_fract_y
_atom_site_fract_z
_atom_site_occupancy
C1 C 0.000 0.000 0.000 1
La1 La 0.000 0.500 0.000 1
La2 La 0.500 0.000 0.000 1
Ti1 Ti 0.000 0.000 0.500 1
Hg1 Hg 0.500 0.500 0.500 1
```

Output
SG = No. 123
ΔH_f (0 K) = -0.26 eV per atom


# 11
Entry from Alexandria via LeMat-Bulk: a relaxed structure of La2VHgC (GGA-PBE).

```
data_La2VHgC
_symmetry_space_group_name_H-M 'P 1'
_symmetry_Int_Tables_number 1
_cell_length_a 5.405
_cell_length_b 5.405
_cell_length_c 4.039
_cell_angle_alpha 90.00
_cell_angle_beta 90.00
_cell_angle_gamma 90.00
loop_
_symmetry_equiv_pos_as_xyz
'x,y,z'
loop_
_atom_site_label
_atom_site_type_symbol
_atom_site_fract_x
_atom_site_fract_y
_atom_site_fract_z
_atom_site_occupancy
Hg1 Hg 0.500 0.500 0.500 1
La1 La 0.500 0.000 0.000 1
C1 C 0.000 0.000 0.000 1
La2 La 0.000 0.500 0.000 1
V1 V 0.000 0.000 0.500 1
```

Output
SG = No. 123
ΔH_f (0 K) = -0.21 eV per atom


# 12
Entry from Alexandria via LeMat-Bulk: a relaxed structure of La2HgWC (GGA-PBE).

```
data_La2HgWC
_symmetry_space_group_name_H-M 'P 1'
_symmetry_Int_Tables_number 1
_cell_length_a 5.414
_cell_length_b 5.228
_cell_length_c 5.414
_cell_angle_alpha 90.00
_cell_angle_beta 90.00
_cell_angle_gamma 90.00
loop_
_symmetry_equiv_pos_as_xyz
'x,y,z'
loop_
_atom_site_label
_atom_site_type_symbol
_atom_site_fract_x
_atom_site_fract_y
_atom_site_fract_z
_atom_site_occupancy
La1 La 0.500 0.000 0.000 1
La2 La 0.000 0.000 0.500 1
W1 W 0.000 0.000 0.000 1
C1 C 0.500 0.500 0.500 1
Hg1 Hg 0.000 0.500 0.000 1
```

Output
SG = No. 123
ΔH_f (0 K) = 1.50 eV per atom